Here is HfCd3Pd12 after structural relaxation from Alexandria. Energies are from PBE.

Properties
The crystal system is tetragonal. The space group is P4/mmm.

Lattice parameters (Å, degrees): 4.020 4.020 16.180 90.00 90.00 90.00
Atoms (fractional coordinates):
Hf (0.000, 0.000, 0.000)
Cd (0.000, 0.000, 0.250)
Cd (0.000, 0.000, 0.500)
Cd (0.000, 0.000, 0.750)
Pd (0.000, 0.500, 0.121)
Pd (0.000, 0.500, 0.375)
Pd (0.000, 0.500, 0.625)
Pd (0.000, 0.500, 0.879)
Pd (0.500, 0.000, 0.121)
Pd (0.500, 0.000, 0.375)
Pd (0.500, 0.000, 0.625)
Pd (0.500, 0.000, 0.879)
Pd (0.500, 0.500, 0.000)
Pd (0.500, 0.500, 0.248)
Pd (0.500, 0.500, 0.500)
Pd (0.500, 0.500, 0.752)

=====

Here is Hf3Cd2Pd8 after structural relaxation from Alexandria. Energies are from PBE.

Properties
The crystal system is trigonal. The space group is R-3m.

Lattice parameters (Å, degrees): 10.243 10.243 10.243 30.12 30.12 30.12
Atoms (fractional coordinates):
Hf (0.000, 0.000, 0.000)
Hf (0.190, 0.190, 0.190)
Hf (0.810, 0.810, 0.810)
Cd (0.367, 0.367, 0.367)
Cd (0.633, 0.633, 0.633)
Pd (0.221, 0.722, 0.722)
Pd (0.278, 0.278, 0.278)
Pd (0.278, 0.278, 0.779)
Pd (0.278, 0.779, 0.278)
Pd (0.722, 0.221, 0.722)
Pd (0.722, 0.722, 0.221)
Pd (0.722, 0.722, 0.722)
Pd (0.779, 0.278, 0.278)

=====

Here is Hf2Cd2Pd5 after structural relaxation from Alexandria. Energies are from PBE.

Properties
The crystal system is orthorhombic. The space group is Ima2.

Lattice parameters (Å, degrees): 8.137 8.137 8.137 79.19 125.64 127.23
Atoms (fractional coordinates):
Hf (0.000, 0.000, 0.000)
Hf (0.000, 0.500, 0.500)
Hf (0.307, 0.343, 0.464)
Hf (0.879, 0.843, 0.536)
Cd (0.518, 0.681, 0.048)
Cd (0.518, 0.971, 0.337)
Cd (0.633, 0.181, 0.663)
Cd (0.633, 0.471, 0.952)
Pd (0.082, 0.235, 0.696)
Pd (0.082, 0.886, 0.347)
Pd (0.100, 0.363, 0.030)
Pd (0.100, 0.570, 0.238)
Pd (0.332, 0.070, 0.970)
Pd (0.332, 0.863, 0.762)
Pd (0.539, 0.386, 0.304)
Pd (0.539, 0.735, 0.653)
Pd (0.815, 0.110, 0.205)
Pd (0.905, 0.610, 0.795)

=====

Here is HfCd3Pd after structural relaxation from Alexandria. Energies are from PBE.

Properties
The crystal system is cubic. The space group is Pm-3m. The calculation puts the energy above the most stable polymorph in this dataset at 0.0 meV per atom.

Lattice parameters (Å, degrees): 5.008 5.008 5.008 90.00 90.00 90.00
Atoms (fractional coordinates):
Hf (0.000, 0.000, 0.000)
Cd (0.000, 0.500, 0.500)
Cd (0.500, 0.000, 0.500)
Cd (0.500, 0.500, 0.000)
Pd (0.500, 0.500, 0.500)

=====

Computed values of energy of formation from the pure elements (unit: meV/atom) for the preceding records, in sequence: -407; -357; -410; 536.